This record from the Alexandria database describes crystalline YCo2SbF at its relaxed geometry. The functional is GGA+U.

Cell lengths 4.839, 4.839, 4.336 Å; angles 90.00, 90.00, 90.00 degrees
Fractional coordinates of all 5 atoms:
Y 0.000 0.000 0.000
Co 0.000 0.500 0.500
Co 0.500 0.000 0.500
Sb 0.500 0.500 0.500
F 0.500 0.500 0.000

Calculated values
crystal system	tetragonal
symmetry	P4/mmm (123)
final energy	-4.6254	eV per atom